Entry 1:
Entry from Alexandria: a geometry-optimized Pm2Tm3Tl2 structure (PBE).

a = 6.050 Å, b = 6.050 Å, c = 8.396 Å
α = 106.92°, β = 106.92°, γ = 46.76°
Fractional coordinates of all 7 atoms:
Pm1 0.116 0.116 0.269
Pm2 0.884 0.884 0.731
Tm1 0.365 0.365 0.061
Tm2 0.500 0.500 0.500
Tm3 0.635 0.635 0.939
Tl1 0.181 0.181 0.691
Tl2 0.819 0.819 0.309

Summary:
Uncorrected energy, eV per atom: -4.11
ΔE_f, eV/f.u.: -1.12
SG: C2/m (12)

---

Entry 2:
Entry from Alexandria: a geometry-optimized NaCoOs structure (PBE).

a = 4.586 Å, b = 4.586 Å, c = 4.980 Å
α = 90.00°, β = 90.00°, γ = 120.00°
Fractional coordinates of all 6 atoms:
Na1 0.000 0.000 0.000
Na2 0.000 0.000 0.500
Co1 0.667 0.333 0.228
Co2 0.667 0.333 0.772
Os1 0.333 0.667 0.252
Os2 0.333 0.667 0.748

Summary:
Uncorrected energy, eV per atom: -5.65
Energy above the most stable polymorph in this dataset, meV/atom: 470
ΔE_f, eV/f.u.: 2.71
SG: P-6m2 (187)

---

Entry 3:
Entry from Alexandria: a geometry-optimized Sm2ZrCuS5 structure (PBE).

a = 8.415 Å, b = 8.415 Å, c = 11.648 Å
α = 90.00°, β = 90.00°, γ = 154.03°
Fractional coordinates of all 18 atoms:
Sm1 0.116 0.884 0.500
Sm2 0.124 0.876 0.135
Sm3 0.876 0.124 0.635
Sm4 0.884 0.116 0.000
Zr1 0.185 0.815 0.825
Zr2 0.815 0.185 0.325
Cu1 0.441 0.559 0.241
Cu2 0.559 0.441 0.741
S1 0.035 0.965 0.846
S2 0.296 0.704 0.483
S3 0.308 0.692 0.166
S4 0.348 0.652 0.819
S5 0.495 0.505 0.570
S6 0.505 0.495 0.070
S7 0.652 0.348 0.319
S8 0.692 0.308 0.666
S9 0.704 0.296 0.983
S10 0.965 0.035 0.346

Summary:
Uncorrected energy, eV per atom: -6.36
SG: Cmc2_1 (36)
Energy relative to the elements, uncorrected, kJ/mol of formula units: -1404

---

Entry 4:
Entry from Alexandria: a geometry-optimized LiTcBI2 structure (PBE).

a = 5.223 Å, b = 5.223 Å, c = 4.076 Å
α = 90.00°, β = 90.00°, γ = 90.00°
Fractional coordinates of all 5 atoms:
Li1 0.000 0.000 0.000
Tc1 0.500 0.500 0.000
B1 0.500 0.500 0.500
I1 0.000 0.500 0.500
I2 0.500 0.000 0.500

Summary:
Uncorrected energy, eV per atom: -3.65
SG: P4/mmm (123)
Energy relative to the elements, uncorrected, kJ/mol of formula units: 366

---

Entry 5:
Entry from Alexandria: a geometry-optimized Zn6Cu6Sn structure (PBE).

a = 6.628 Å, b = 6.628 Å, c = 6.628 Å
α = 135.73°, β = 98.93°, γ = 97.39°
Fractional coordinates of all 13 atoms:
Zn1 0.149 0.149 0.000
Zn2 0.155 0.500 0.655
Zn3 0.299 0.799 0.500
Zn4 0.701 0.201 0.500
Zn5 0.845 0.500 0.345
Zn6 0.851 0.851 0.000
Cu1 0.000 0.000 0.500
Cu2 0.000 0.500 0.000
Cu3 0.266 0.000 0.266
Cu4 0.500 0.000 0.000
Cu5 0.500 0.500 0.500
Cu6 0.734 0.000 0.734
Sn1 0.500 0.500 0.000

Summary:
Uncorrected energy, eV per atom: -2.82
ΔE_f, eV/f.u.: -0.46
SG: Immm (71)

---

Entry 6:
Entry from Alexandria: a geometry-optimized Nd4YHo6 structure (PBE).

a = 9.745 Å, b = 9.745 Å, c = 9.745 Å
α = 140.06°, β = 140.06°, γ = 57.76°
Fractional coordinates of all 11 atoms:
Nd1 0.013 0.634 0.000
Nd2 0.366 0.366 0.379
Nd3 0.634 0.013 0.000
Nd4 0.987 0.987 0.621
Y1 0.000 0.000 0.000
Ho1 0.000 0.500 0.500
Ho2 0.197 0.197 0.644
Ho3 0.447 0.803 0.000
Ho4 0.500 0.000 0.500
Ho5 0.553 0.553 0.356
Ho6 0.803 0.447 0.000

Summary:
Uncorrected energy, eV per atom: -4.52
Energy above the most stable polymorph in this dataset, meV/atom: 136
ΔE_f, eV/f.u.: 3.29
SG: I-42m (121)

---

Entry 7:
Entry from Alexandria: a geometry-optimized FeNi3Pd2 structure (PBE).

a = 7.654 Å, b = 7.654 Å, c = 7.654 Å
α = 116.29°, β = 116.29°, γ = 96.55°
Fractional coordinates of all 24 atoms:
Fe1 0.252 0.502 0.750
Fe2 0.498 0.748 0.750
Fe3 0.502 0.252 0.250
Fe4 0.748 0.498 0.250
Ni1 0.000 0.000 0.000
Ni2 0.000 0.000 0.500
Ni3 0.000 0.500 0.000
Ni4 0.158 0.408 0.317
Ni5 0.158 0.842 0.750
Ni6 0.408 0.158 0.817
Ni7 0.408 0.592 0.250
Ni8 0.500 0.000 0.500
Ni9 0.592 0.408 0.750
Ni10 0.592 0.842 0.183
Ni11 0.842 0.158 0.250
Ni12 0.842 0.592 0.683
Pd1 0.156 0.231 0.926
Pd2 0.195 0.769 0.426
Pd3 0.231 0.156 0.426
Pd4 0.231 0.805 0.074
Pd5 0.769 0.195 0.926
Pd6 0.769 0.844 0.574
Pd7 0.805 0.231 0.574
Pd8 0.844 0.769 0.074

Summary:
Uncorrected energy, eV per atom: -5.77
ΔE_f, eV/f.u.: 1.56
SG: I4_1/amd (141)

---

Entry 8:
Entry from Alexandria: a geometry-optimized KNpAgS3 structure (PBE).

a = 7.398 Å, b = 7.398 Å, c = 10.441 Å
α = 90.00°, β = 90.00°, γ = 147.81°
Fractional coordinates of all 12 atoms:
K1 0.236 0.764 0.750
K2 0.764 0.236 0.250
Np1 0.500 0.500 0.000
Np2 0.500 0.500 0.500
Ag1 0.050 0.950 0.250
Ag2 0.950 0.050 0.750
S1 0.123 0.877 0.036
S2 0.123 0.877 0.464
S3 0.441 0.559 0.250
S4 0.559 0.441 0.750
S5 0.877 0.123 0.536
S6 0.877 0.123 0.964

Summary:
Uncorrected energy, eV per atom: -5.95
SG: Cmcm (63)
Energy relative to the elements, uncorrected, kJ/mol of formula units: -619

---

Entry 9:
Entry from Alexandria: a geometry-optimized Pr6Nd3Mg2 structure (PBE).

a = 6.338 Å, b = 8.296 Å, c = 8.572 Å
α = 103.78°, β = 109.87°, γ = 106.69°
Fractional coordinates of all 11 atoms:
Pr1 0.027 0.362 0.316
Pr2 0.089 0.740 0.131
Pr3 0.445 0.451 0.771
Pr4 0.555 0.549 0.229
Pr5 0.911 0.260 0.869
Pr6 0.973 0.638 0.684
Nd1 0.000 0.000 0.500
Nd2 0.482 0.823 0.599
Nd3 0.518 0.177 0.401
Mg1 0.361 0.107 0.945
Mg2 0.639 0.893 0.055

Summary:
Uncorrected energy, eV per atom: -4.16
ΔE_f, eV/f.u.: 0.39
SG: P-1 (2)

---

Entry 10:
Entry from Alexandria: a geometry-optimized Cs3ScSe3 structure (PBE).

a = 8.828 Å, b = 8.828 Å, c = 8.708 Å
α = 97.14°, β = 97.14°, γ = 113.42°
Fractional coordinates of all 14 atoms:
Cs1 0.180 0.820 0.000
Cs2 0.256 0.744 0.500
Cs3 0.383 0.383 0.144
Cs4 0.617 0.617 0.856
Cs5 0.744 0.256 0.500
Cs6 0.820 0.180 0.000
Sc1 0.166 0.166 0.644
Sc2 0.834 0.834 0.356
Se1 0.100 0.100 0.333
Se2 0.153 0.434 0.772
Se3 0.434 0.153 0.772
Se4 0.566 0.847 0.228
Se5 0.847 0.566 0.228
Se6 0.900 0.900 0.667

Summary:
Uncorrected energy, eV per atom: -4.19
Energy above the most stable polymorph in this dataset, meV/atom: 0
SG: C2/m (12)
Energy relative to the elements, uncorrected, kJ/mol of formula units: -964

---

Entry 11:
Entry from Alexandria: a geometry-optimized Tl2HgIO6 structure (PBE).

a = 5.787 Å, b = 6.070 Å, c = 6.627 Å
α = 104.10°, β = 102.87°, γ = 118.43°
Fractional coordinates of all 10 atoms:
Tl1 0.000 0.000 0.000
Tl2 0.484 0.168 0.644
Hg1 0.507 0.645 0.201
I1 0.129 0.494 0.616
O1 0.124 0.164 0.422
O2 0.237 0.871 0.801
O3 0.386 0.743 0.459
O4 0.578 0.564 0.908
O5 0.772 0.372 0.417
O6 0.952 0.329 0.806

Summary:
Uncorrected energy, eV per atom: -4.02
SG: P1 (1)
Energy relative to the elements, uncorrected, kJ/mol of formula units: -370

---

Entry 12:
Entry from Alexandria: a geometry-optimized B2AsO structure (PBE).

a = 5.519 Å, b = 5.519 Å, c = 5.519 Å
α = 135.09°, β = 135.09°, γ = 65.39°
Fractional coordinates of all 8 atoms:
B1 0.063 0.625 0.938
B2 0.375 0.313 0.438
B3 0.687 0.125 0.062
B4 0.875 0.937 0.562
As1 0.250 0.750 0.500
As2 0.500 0.500 0.000
O1 0.000 0.000 0.000
O2 0.750 0.250 0.500

Summary:
Uncorrected energy, eV per atom: -5.57
Energy above the most stable polymorph in this dataset, meV/atom: 0
SG: I-42d (122)
Energy relative to the elements, uncorrected, kJ/mol of formula units: 66